# Si3AgPd, relaxed, DFT PBE
# Total moment   0.00 μB per cell
# DFT total energy   -4.19 eV/atom
# Mass density   4.73 g cm⁻³
# DOS(E_F)   3.19 states/eV/f.u.
data_Si3AgPd
_chemical_formula_sum 'Si3 Ag1 Pd1'
_cell_length_a 4.715
_cell_length_b 4.715
_cell_length_c 4.715
_cell_angle_alpha 90.00
_cell_angle_beta 90.00
_cell_angle_gamma 90.00
_space_group_name_H-M_alt 'P m -3 m'
_space_group_IT_number 221
_space_group_name_Hall '-P 4 2 3'
loop_
_atom_site_label
_atom_site_fract_x
_atom_site_fract_y
_atom_site_fract_z
Si1 0.000 0.000 0.500
Ag1 0.500 0.500 0.500
Pd1 0.000 0.000 0.000